DFT (PBE) results for a relaxed structure of LaCoAg2.

```
4
Lattice="-1.718 2.225 5.114 1.718 -2.225 5.114 1.718 2.225 -5.114" Properties=species:S:1:pos:R:3 pbc="T T T"
La 0.000 0.000 0.000
Co 0.000 0.000 5.114
Ag 1.718 0.000 2.857
Ag 0.000 2.225 2.257
```

Computed properties:
Space-group type = No. 71
E = -17.7 eV for the cell shown
E_form = 0.015 eV per atom
Crystal system = orthorhombic